Entry 1:
# MgTeIN2 GGA-PBE optimized geometry
data_MgTeIN2
_chemical_formula_sum 'Mg1 Te1 I1 N2'
_cell_length_a 4.3837
_cell_length_b 4.3837
_cell_length_c 6.3999
_cell_angle_alpha 90.00
_cell_angle_beta 90.00
_cell_angle_gamma 90.00
_space_group_name_H-M_alt 'P 4/m m m'
_space_group_IT_number 123
_space_group_name_Hall '-P 4 2'
loop_
_atom_site_label
_atom_site_type_symbol
_atom_site_fract_x
_atom_site_fract_y
_atom_site_fract_z
Mg1 Mg 0.0000 0.0000 0.0000
Te1 Te 0.5000 0.5000 0.5000
I1 I 0.0000 0.0000 0.5000
N1 N 0.0000 0.5000 0.0000
# theoretical density	4.1	g/cm3
# calculated total energy	-3.299	eV/atom
# distance to the lowest polymorph of the same formula	15.8	kJ/mol of atoms

Entry 2:
# MgTeI2N GGA-PBE optimized geometry
data_MgTeI2N
_chemical_formula_sum 'Mg1 Te1 I2 N1'
_cell_length_a 5.8657
_cell_length_b 5.8657
_cell_length_c 3.9326
_cell_angle_alpha 90.00
_cell_angle_beta 90.00
_cell_angle_gamma 90.00
_space_group_name_H-M_alt 'P 4/m m m'
_space_group_IT_number 123
_space_group_name_Hall '-P 4 2'
loop_
_atom_site_label
_atom_site_type_symbol
_atom_site_fract_x
_atom_site_fract_y
_atom_site_fract_z
Mg1 Mg 0.0000 0.0000 0.0000
Te1 Te 0.5000 0.5000 0.5000
I1 I 0.0000 0.5000 0.0000
N1 N 0.0000 0.0000 0.5000
# theoretical density	5.2	g/cm3
# calculated total energy	-2.620	eV/atom
# distance to the lowest polymorph of the same formula	6.9	kJ/mol of atoms

Entry 3:
# MgTiIN2 GGA-PBE optimized geometry
data_MgTiIN2
_chemical_formula_sum 'Mg1 Ti1 I1 N2'
_cell_length_a 4.0283
_cell_length_b 4.0283
_cell_length_c 5.3764
_cell_angle_alpha 90.00
_cell_angle_beta 90.00
_cell_angle_gamma 90.00
_space_group_name_H-M_alt 'P 4/m m m'
_space_group_IT_number 123
_space_group_name_Hall '-P 4 2'
loop_
_atom_site_label
_atom_site_type_symbol
_atom_site_fract_x
_atom_site_fract_y
_atom_site_fract_z
Mg1 Mg 0.0000 0.0000 0.0000
Ti1 Ti 0.5000 0.5000 0.5000
I1 I 0.0000 0.0000 0.5000
N1 N 0.0000 0.5000 0.0000
# theoretical density	4.3	g/cm3
# calculated total energy	-4.299	eV/atom
# distance to the lowest polymorph of the same formula	104.6	kJ/mol of atoms

Entry 4:
# MgTiIN2 GGA-PBE optimized geometry
data_MgTiIN2
_chemical_formula_sum 'Mg1 Ti1 I1 N2'
_cell_length_a 3.9907
_cell_length_b 3.9907
_cell_length_c 5.6933
_cell_angle_alpha 90.00
_cell_angle_beta 90.00
_cell_angle_gamma 90.00
_space_group_name_H-M_alt 'P 4/m m m'
_space_group_IT_number 123
_space_group_name_Hall '-P 4 2'
loop_
_atom_site_label
_atom_site_type_symbol
_atom_site_fract_x
_atom_site_fract_y
_atom_site_fract_z
Mg1 Mg 0.0000 0.0000 0.0000
Ti1 Ti 0.5000 0.5000 0.5000
I1 I 0.5000 0.5000 0.0000
N1 N 0.0000 0.5000 0.5000
# theoretical density	4.2	g/cm3
# calculated total energy	-5.384	eV/atom
# distance to the lowest polymorph of the same formula	0.0	kJ/mol of atoms

Entry 5:
# MgTlIN2 GGA-PBE optimized geometry
data_MgTlIN2
_chemical_formula_sum 'Mg1 Tl1 I1 N2'
_cell_length_a 4.3819
_cell_length_b 4.3819
_cell_length_c 6.7238
_cell_angle_alpha 90.00
_cell_angle_beta 90.00
_cell_angle_gamma 90.00
_space_group_name_H-M_alt 'P 4/m m m'
_space_group_IT_number 123
_space_group_name_Hall '-P 4 2'
loop_
_atom_site_label
_atom_site_type_symbol
_atom_site_fract_x
_atom_site_fract_y
_atom_site_fract_z
Mg1 Mg 0.0000 0.0000 0.0000
Tl1 Tl 0.5000 0.5000 0.5000
I1 I 0.5000 0.5000 0.0000
N1 N 0.0000 0.5000 0.5000
# theoretical density	4.9	g/cm3
# calculated total energy	-2.948	eV/atom
# distance to the lowest polymorph of the same formula	48.6	kJ/mol of atoms

Entry 6:
# MgTlIN2 GGA-PBE optimized geometry
data_MgTlIN2
_chemical_formula_sum 'Mg1 Tl1 I1 N2'
_cell_length_a 4.5765
_cell_length_b 4.5765
_cell_length_c 6.0126
_cell_angle_alpha 90.00
_cell_angle_beta 90.00
_cell_angle_gamma 90.00
_space_group_name_H-M_alt 'P 4/m m m'
_space_group_IT_number 123
_space_group_name_Hall '-P 4 2'
loop_
_atom_site_label
_atom_site_type_symbol
_atom_site_fract_x
_atom_site_fract_y
_atom_site_fract_z
Mg1 Mg 0.0000 0.0000 0.0000
Tl1 Tl 0.5000 0.5000 0.5000
I1 I 0.0000 0.0000 0.5000
N1 N 0.0000 0.5000 0.0000
# theoretical density	5.1	g/cm3
# calculated total energy	-3.451	eV/atom
# distance to the lowest polymorph of the same formula	0.0	kJ/mol of atoms

Entry 7:
# MgVI2N GGA-PBE optimized geometry
data_MgVI2N
_chemical_formula_sum 'Mg1 V1 I2 N1'
_cell_length_a 5.7192
_cell_length_b 5.7192
_cell_length_c 3.9903
_cell_angle_alpha 90.00
_cell_angle_beta 90.00
_cell_angle_gamma 90.00
_space_group_name_H-M_alt 'P 4/m m m'
_space_group_IT_number 123
_space_group_name_Hall '-P 4 2'
loop_
_atom_site_label
_atom_site_type_symbol
_atom_site_fract_x
_atom_site_fract_y
_atom_site_fract_z
Mg1 Mg 0.0000 0.0000 0.0000
V1 V 0.5000 0.5000 0.5000
I1 I 0.0000 0.5000 0.0000
N1 N 0.0000 0.0000 0.5000
# theoretical density	4.4	g/cm3
# calculated total energy	-3.815	eV/atom
# distance to the lowest polymorph of the same formula	67.1	kJ/mol of atoms

Entry 8:
# MgVI2N GGA-PBE optimized geometry
data_MgVI2N
_chemical_formula_sum 'Mg1 V1 I2 N1'
_cell_length_a 5.6556
_cell_length_b 5.6556
_cell_length_c 3.7169
_cell_angle_alpha 90.00
_cell_angle_beta 90.00
_cell_angle_gamma 90.00
_space_group_name_H-M_alt 'P 4/m m m'
_space_group_IT_number 123
_space_group_name_Hall '-P 4 2'
loop_
_atom_site_label
_atom_site_type_symbol
_atom_site_fract_x
_atom_site_fract_y
_atom_site_fract_z
Mg1 Mg 0.0000 0.0000 0.0000
V1 V 0.5000 0.5000 0.5000
I1 I 0.0000 0.5000 0.5000
N1 N 0.5000 0.5000 0.0000
# theoretical density	4.8	g/cm3
# calculated total energy	-4.511	eV/atom
# distance to the lowest polymorph of the same formula	0.0	kJ/mol of atoms